The following is a GGA+U calculation of crystalline K3Y3VO8 at its relaxed geometry, from Alexandria via LeMat-Bulk.

Calculated values
Total energy = -7.251 eV per atom

```
K3Y3VO8
1.0
5.844 -3.368 0.000
5.844 3.368 0.000
-3.888 0.000 6.282
K Y V O
3 3 1 8
direct
0.000 0.000 0.000 K
0.000 0.500 0.000 K
0.500 0.000 0.000 K
0.000 0.500 0.500 Y
0.500 0.000 0.500 Y
0.500 0.500 0.500 Y
0.000 0.000 0.500 V
0.205 0.759 0.669 O
0.207 0.207 0.670 O
0.241 0.795 0.331 O
0.272 0.272 0.315 O
0.728 0.728 0.685 O
0.759 0.205 0.669 O
0.793 0.793 0.330 O
0.795 0.241 0.331 O
```